1.
A plane-wave DFT calculation with PBE was carried out for a geometry-optimized Ca2TcAg structure.

Cell and atoms, written as POSCAR:
```
Ca2TcAg
1.0
-1.7031 2.5381 5.4639
1.7031 -2.5381 5.4639
1.7031 2.5381 -5.4639
Ca Tc Ag
2 1 1
Cartesian
0.0000 0.0000 0.0000
0.0000 2.5381 2.2874
1.7031 0.0000 2.7110
0.0000 0.0000 4.9175
```

## Properties
Spin magnetization: 1.5 μB/cell
Energy above the lowest structure with this stoichiometry: 42.9 meV/atom
Total DFT energy (no corrections): -3.930 eV per atom
Formation energy from the elements: 0.375 eV/atom
Theoretical density: 5.0 Mg/m³

=====

2.
A plane-wave DFT calculation with PBE was carried out for a geometry-optimized CaTcAg2 structure.

Cell and atoms, written as POSCAR:
```
CaTcAg2
1.0
-1.7491 2.3752 4.8070
1.7491 -2.3752 4.8070
1.7491 2.3752 -4.8070
Ca Tc Ag
1 1 2
Cartesian
0.0000 0.0000 0.0000
1.7491 0.0000 2.5125
0.0000 0.0000 4.7561
0.0000 2.3752 2.2492
```

## Properties
Spin magnetization: 2.2 μB/cell
Energy above the lowest structure with this stoichiometry: 73.5 meV/atom
Total DFT energy (no corrections): -4.052 eV per atom
Formation energy from the elements: 0.466 eV/atom
Theoretical density: 7.4 Mg/m³

=====

3.
A plane-wave DFT calculation with PBE was carried out for a geometry-optimized CaTc2Ag structure.

Cell and atoms, written as POSCAR:
```
CaTc2Ag
1.0
4.2815 -1.5574 0.0000
4.2815 1.5574 0.0000
-0.9822 0.0000 5.9569
Ca Tc Ag
1 2 1
Cartesian
0.0000 0.0000 0.0000
1.2918 0.0000 3.9659
3.8136 0.0000 3.2802
6.2572 0.0000 1.6860
```

## Properties
Spin magnetization: 0.0 μB/cell
Energy above the lowest structure with this stoichiometry: 237.6 meV/atom
Total DFT energy (no corrections): -5.954 eV per atom
Formation energy from the elements: 0.442 eV/atom
Theoretical density: 7.2 Mg/m³

=====

> What is the formula in the second record?

CaTcAg2

=====

Copy entry 2 word for word.
A plane-wave DFT calculation with PBE was carried out for a geometry-optimized CaTcAg2 structure.

Cell and atoms, written as POSCAR:
```
CaTcAg2
1.0
-1.7491 2.3752 4.8070
1.7491 -2.3752 4.8070
1.7491 2.3752 -4.8070
Ca Tc Ag
1 1 2
Cartesian
0.0000 0.0000 0.0000
1.7491 0.0000 2.5125
0.0000 0.0000 4.7561
0.0000 2.3752 2.2492
```

## Properties
Spin magnetization: 2.2 μB/cell
Energy above the lowest structure with this stoichiometry: 73.5 meV/atom
Total DFT energy (no corrections): -4.052 eV per atom
Formation energy from the elements: 0.466 eV/atom
Theoretical density: 7.4 Mg/m³